Computed, not measured: a relaxed structure of Sc2InNi2 at the PBE level of DFT.

a = 7.696 Å, b = 7.696 Å, c = 3.080 Å
α = 90.00°, β = 90.00°, γ = 90.00°
Atoms (fractional coordinates):
Sc: 0.149 0.351 0.000
Sc: 0.351 0.851 0.000
Sc: 0.649 0.149 0.000
Sc: 0.851 0.649 0.000
In: 0.000 0.000 0.000
In: 0.500 0.500 0.000
Ni: 0.133 0.633 0.500
Ni: 0.367 0.133 0.500
Ni: 0.633 0.867 0.500
Ni: 0.867 0.367 0.500

* spin magnetization: 0.00 μB per formula unit
* DFT formation energy: -0.22 eV/atom
* uncorrected energy: -5.612 eV per atom
* N(E_F): 0.87 states/eV/atom
* symmetry: P4/mbm
* V: 182 Å³/cell